# 1
The following is a DFT calculation (PBE) of Sm2Ga5Pt5 after structural relaxation.

Values from the calculation:
VASP energy = -5.4013 eV per atom
formation energy from the elements = -0.84 eV per atom

Unit cell a=4.2636 b=5.3998 c=9.5826 alpha=90.00 beta=90.00 gamma=90.00
Last column: nearest neighbours and their distance in Å.
Sites, in units of the cell vectors:
Pt 0.0000 0.5000 0.6598  6 Ga 2.62-2.71
Pt 0.0000 0.0000 0.8096  4 Ga 2.58, 2 Pt 2.81
Pt 0.0000 0.0000 0.1904  4 Ga 2.58, 2 Pt 2.81
Pt 0.0000 0.5000 0.3402  6 Ga 2.62-2.71
Pt 0.5000 0.0000 0.0000  4 Ga 2.62, 4 Pt 2.81
Ga 0.5000 0.7422 0.2310  5 Pt 2.58-2.71, 2 Ga 2.62-2.78
Ga 0.5000 0.5000 0.5000  4 Pt 2.62, 4 Ga 2.89
Ga 0.5000 0.2578 0.7690  5 Pt 2.58-2.71, 2 Ga 2.62-2.78
Ga 0.5000 0.7422 0.7690  5 Pt 2.58-2.71, 2 Ga 2.62-2.78
Ga 0.5000 0.2578 0.2310  5 Pt 2.58-2.71, 2 Ga 2.62-2.78
Sm 0.0000 0.5000 0.0000  10 Pt 3.26-3.44, 8 Ga 3.34
Sm 0.0000 0.0000 0.5000  6 Pt 2.97-3.10

# 2
The following is a DFT calculation (PBE) of Lu2ScTi after structural relaxation.

Values from the calculation:
VASP energy = -5.6727 eV per atom
formation energy from the elements = 0.14 eV per atom
E above lowest polymorph = 0 meV/atom

Unit cell a=3.2940 b=3.2940 c=9.1266 alpha=90.00 beta=90.00 gamma=90.00
Last column: nearest neighbours and their distance in Å.
Sites, in units of the cell vectors:
Lu 0.0000 0.0000 0.2291  4 Ti 3.13, 4 Lu 3.29, 4 Sc 3.40
Lu 0.0000 0.0000 0.7709  4 Ti 3.13, 4 Lu 3.29, 4 Sc 3.40
Sc 0.5000 0.5000 0.5000  4 Sc 3.29, 8 Lu 3.40
Ti 0.5000 0.5000 0.0000  8 Lu 3.13, 4 Ti 3.29

# 3
The following is a DFT calculation (PBE) of InH3Br after structural relaxation.

Values from the calculation:
VASP energy = -2.3930 eV per atom
E above lowest polymorph = 537 meV/atom

Unit cell a=4.0144 b=4.0144 c=4.0144 alpha=90.00 beta=90.00 gamma=90.00
Last column: nearest neighbours and their distance in Å.
Sites, in units of the cell vectors:
H 0.0000 0.5000 0.0000  2 In 2.01
H 0.0000 0.0000 0.5000  2 In 2.01
H 0.5000 0.0000 0.0000  2 In 2.01
In 0.0000 0.0000 0.0000  6 H 2.01
Br 0.5000 0.5000 0.5000  12 H 2.84

# 4
The following is a DFT calculation (PBE) of NiP3Pd after structural relaxation.

Values from the calculation:
VASP energy = -4.8555 eV per atom
formation energy from the elements = 0.59 eV per atom
E above lowest polymorph = 0 meV/atom

Unit cell a=4.3641 b=4.3641 c=4.3641 alpha=90.00 beta=90.00 gamma=90.00
Last column: nearest neighbours and their distance in Å.
Sites, in units of the cell vectors:
Pd 0.5000 0.5000 0.5000  12 P 3.09
P 0.0000 0.5000 0.0000  2 Ni 2.18
P 0.0000 0.0000 0.5000  2 Ni 2.18
P 0.5000 0.0000 0.0000  2 Ni 2.18
Ni 0.0000 0.0000 0.0000  6 P 2.18

# 5
The following is a DFT calculation (PBE) of CsVP2Cl after structural relaxation.

Values from the calculation:
uncorrected formation energy = 1965 meV/atom
VASP energy = -2.5626 eV per atom

Unit cell a=5.5243 b=5.5243 c=5.8622 alpha=90.00 beta=90.00 gamma=90.00
Last column: nearest neighbours and their distance in Å.
Sites, in units of the cell vectors:
P 0.0000 0.5000 0.0000  2 Cs 2.76
P 0.5000 0.0000 0.0000  2 Cs 2.76
Cs 0.0000 0.0000 0.0000  4 P 2.76, 2 Cl 2.93
V 0.5000 0.5000 0.5000  4 Cl 3.91, 8 P 4.03
Cl 0.0000 0.0000 0.5000  2 Cs 2.93

# 6
The following is a DFT calculation (PBE) of Hg2Pt after structural relaxation.

Values from the calculation:
VASP energy = -2.1886 eV per atom
formation energy from the elements = 0.03 eV per atom
E above lowest polymorph = 93 meV/atom

Unit cell a=2.9663 b=7.1618 c=7.1953 alpha=90.00 beta=90.00 gamma=90.00
Last column: nearest neighbours and their distance in Å.
Sites, in units of the cell vectors:
Pt 0.0000 0.0000 0.0000  6 Hg 2.70-2.80, 2 Pt 2.97
Pt 0.5000 0.5000 0.5000  6 Hg 2.70-2.80, 2 Pt 2.97
Hg 0.0000 0.2662 0.2666  3 Pt 2.70-2.80, 2 Hg 2.97
Hg 0.5000 0.7662 0.2334  3 Pt 2.70-2.80, 2 Hg 2.97
Hg 0.0000 0.7338 0.7334  3 Pt 2.70-2.80, 2 Hg 2.97
Hg 0.5000 0.2338 0.7666  3 Pt 2.70-2.80, 2 Hg 2.97